No. 1
Hf3ZnIn after structural relaxation. Source: Alexandria, functional PBE-GGA.

Results
The calculation puts the calculated total energy at -0.2328 hartree per atom. The value obtained for the energy above the lowest structure with this stoichiometry is 1.346 eV per formula unit. The calculation puts the energy of formation from the pure elements at 0.439 eV per atom.

Unit cell a=4.921 b=4.921 c=4.921 alpha=90.00 beta=90.00 gamma=90.00
Positions (direct):
Hf1 0.000 0.000 0.500
Hf2 0.000 0.500 0.000
Hf3 0.500 0.000 0.000
Zn1 0.000 0.000 0.000
In1 0.500 0.500 0.500

No. 2
Hf12ZnIn3 after structural relaxation. Source: Alexandria, functional PBE-GGA.

Results
The calculation puts the calculated total energy at -0.3006 hartree per atom. The calculation puts the energy of formation from the pure elements at -0.123 eV per atom.

Unit cell a=4.404 b=4.404 c=17.580 alpha=90.00 beta=90.00 gamma=90.00
Positions (direct):
Hf1 0.000 0.000 0.000
Hf2 0.000 0.000 0.247
Hf3 0.000 0.000 0.500
Hf4 0.000 0.000 0.753
Hf5 0.000 0.500 0.120
Hf6 0.000 0.500 0.373
Hf7 0.000 0.500 0.627
Hf8 0.000 0.500 0.880
Hf9 0.500 0.000 0.120
Hf10 0.500 0.000 0.373
Hf11 0.500 0.000 0.627
Hf12 0.500 0.000 0.880
Zn1 0.500 0.500 0.000
In1 0.500 0.500 0.246
In2 0.500 0.500 0.500
In3 0.500 0.500 0.754

No. 3
HfZnIn after structural relaxation. Source: Alexandria, functional PBE-GGA.

Results
The calculation puts the calculated total energy at -0.1753 hartree per atom. The calculation puts the energy of formation from the pure elements at -0.114 eV per atom.

Unit cell a=4.578 b=4.578 c=3.221 alpha=90.00 beta=90.00 gamma=120.00
Positions (direct):
Hf1 0.000 0.000 0.000
Zn1 0.333 0.667 0.497
In1 0.667 0.333 0.501

No. 4
Hf12ZnIn6 after structural relaxation. Source: Alexandria, functional PBE-GGA.

Results
The calculation puts the calculated total energy at -0.2658 hartree per atom. The calculation puts the energy of formation from the pure elements at -0.014 eV per atom.

Unit cell a=7.454 b=7.454 c=7.454 alpha=89.94 beta=89.94 gamma=89.94
Positions (direct):
Hf1 0.020 0.944 0.303
Hf2 0.056 0.697 0.980
Hf3 0.122 0.440 0.354
Hf4 0.303 0.020 0.944
Hf5 0.354 0.122 0.440
Hf6 0.440 0.354 0.122
Hf7 0.560 0.646 0.878
Hf8 0.646 0.878 0.560
Hf9 0.697 0.980 0.056
Hf10 0.878 0.560 0.646
Hf11 0.944 0.303 0.020
Hf12 0.980 0.056 0.697
Zn1 0.500 0.500 0.500
In1 0.231 0.378 0.756
In2 0.244 0.769 0.622
In3 0.378 0.756 0.231
In4 0.622 0.244 0.769
In5 0.756 0.231 0.378
In6 0.769 0.622 0.244

No. 5
HfZnIn3 after structural relaxation. Source: Alexandria, functional PBE-GGA.

Results
The calculation puts the calculated total energy at -0.1194 hartree per atom. The value obtained for the energy above the lowest structure with this stoichiometry is 0.000 eV per formula unit. The calculation puts the energy of formation from the pure elements at 0.640 eV per atom.

Unit cell a=5.069 b=5.069 c=5.069 alpha=90.00 beta=90.00 gamma=90.00
Positions (direct):
Hf1 0.000 0.000 0.000
Zn1 0.500 0.500 0.500
In1 0.000 0.500 0.500
In2 0.500 0.000 0.500
In3 0.500 0.500 0.000

No. 6
HfZn2In2 after structural relaxation. Source: Alexandria, functional PBE-GGA.

Results
The calculation puts the calculated total energy at -0.1304 hartree per atom. The value obtained for the energy above the lowest structure with this stoichiometry is 0.000 eV per formula unit. The calculation puts the energy of formation from the pure elements at 0.047 eV per atom.

Unit cell a=7.736 b=7.736 c=3.318 alpha=90.00 beta=90.00 gamma=90.00
Positions (direct):
Hf1 0.000 0.000 0.000
Hf2 0.500 0.500 0.000
Zn1 0.120 0.380 0.000
Zn2 0.380 0.880 0.000
Zn3 0.620 0.120 0.000
Zn4 0.880 0.620 0.000
In1 0.180 0.680 0.500
In2 0.320 0.180 0.500
In3 0.680 0.820 0.500
In4 0.820 0.320 0.500